NdSmEr4: relaxed, GGA-PBE.

Structure (extended XYZ):
```
12
Lattice="6.437 -0.713 0.000 -2.581 8.622 0.000 -1.928 -3.954 7.313" Properties=species:S:1:pos:R:3 pbc="T T T"
Sm 1.609 -0.178 6.051
Sm 0.319 4.133 1.262
Er 3.067 -1.112 2.859
Er -1.139 5.066 4.454
Er 1.777 3.199 4.454
Er -1.656 1.871 5.371
Er 0.151 0.755 2.859
Er 3.491 5.468 1.941
Er -1.563 -1.514 5.371
Er 3.584 2.084 1.941
Nd 4.828 -0.535 0.030
Nd -2.900 4.489 7.283
```

Calculated values
Energy relative to the elements, eV per atom: 0.15
Excess energy over the best structure of this formula in the dataset, eV/atom: 0.133
Calculated density, g/cm3: 8.16